# 1
A plane-wave DFT calculation with PBE was carried out for crystalline SrAc3Sb3 at its relaxed geometry.

Values from the calculation:
Volume, A^3/atom: 36.509
Space-group type: P2_13 (198)
E, eV/atom: -4.788

Lattice parameters (Å, degrees): 10.074 10.074 10.074 90.00 90.00 90.00
Fractional positions:
Sr (0.069, 0.569, 0.931)
Sr (0.931, 0.069, 0.569)
Sr (0.431, 0.431, 0.431)
Sr (0.569, 0.931, 0.069)
Ac (0.821, 0.321, 0.179)
Ac (0.929, 0.929, 0.929)
Ac (0.819, 0.681, 0.319)
Ac (0.179, 0.821, 0.321)
Ac (0.181, 0.181, 0.181)
Ac (0.319, 0.819, 0.681)
Ac (0.071, 0.429, 0.571)
Ac (0.321, 0.179, 0.821)
Ac (0.681, 0.319, 0.819)
Ac (0.679, 0.679, 0.679)
Ac (0.571, 0.071, 0.429)
Ac (0.429, 0.571, 0.071)
Sb (0.750, 0.624, 0.999)
Sb (0.876, 0.001, 0.250)
Sb (0.999, 0.750, 0.624)
Sb (0.124, 0.501, 0.250)
Sb (0.250, 0.124, 0.501)
Sb (0.250, 0.876, 0.001)
Sb (0.001, 0.250, 0.876)
Sb (0.376, 0.499, 0.750)
Sb (0.501, 0.250, 0.124)
Sb (0.624, 0.999, 0.750)
Sb (0.750, 0.376, 0.499)
Sb (0.499, 0.750, 0.376)

=====

# 2
A plane-wave DFT calculation with PBE was carried out for crystalline Sr5AcSb4 at its relaxed geometry.

Values from the calculation:
Volume, A^3/atom: 42.822
Space-group type: C2/m (12)
E, eV/atom: -3.835

Lattice parameters (Å, degrees): 4.999 8.960 10.852 114.42 103.32 90.00
Fractional positions:
Sr (0.832, 0.594, 0.664)
Sr (0.832, 0.071, 0.664)
Sr (0.168, 0.929, 0.336)
Sr (0.500, 0.500, 0.000)
Sr (0.168, 0.406, 0.336)
Ac (0.500, 0.000, 0.000)
Sb (0.303, 0.803, 0.606)
Sb (0.000, 0.745, 0.000)
Sb (0.697, 0.197, 0.394)
Sb (0.000, 0.255, 0.000)

=====

# 3
A plane-wave DFT calculation with PBE was carried out for crystalline SrAcZnSb at its relaxed geometry.

Values from the calculation:
Volume, A^3/atom: 31.727
Space-group type: F-43m (216)
E, eV/atom: -3.326

Lattice parameters (Å, degrees): 5.641 5.641 5.641 60.00 60.00 60.00
Fractional positions:
Sb (0.000, 0.000, 0.000)
Ac (0.250, 0.250, 0.250)
Zn (0.500, 0.500, 0.500)
Sr (0.750, 0.750, 0.750)

=====

# 4
A plane-wave DFT calculation with PBE was carried out for crystalline AcTaSb2 at its relaxed geometry.

Values from the calculation:
Volume, A^3/atom: 25.898
Space-group type: P4/mmm (123)
E, eV/atom: -6.295

Lattice parameters (Å, degrees): 3.611 3.611 7.946 90.00 90.00 90.00
Fractional positions:
Sb (0.000, 0.000, 0.801)
Sb (0.000, 0.000, 0.199)
Ac (0.500, 0.500, 0.500)
Ta (0.500, 0.500, 0.000)

=====

# 5
A plane-wave DFT calculation with PBE was carried out for crystalline AcTaSb2 at its relaxed geometry.

Values from the calculation:
Volume, A^3/atom: 30.127
Space-group type: R-3m (166)
E, eV/atom: -5.948

Lattice parameters (Å, degrees): 3.597 3.597 10.956 80.55 80.55 60.00
Fractional positions:
Sb (0.106, 0.106, 0.683)
Sb (0.894, 0.894, 0.317)
Ac (0.000, 0.000, 0.000)
Ta (0.500, 0.500, 0.500)

=====

# 6
A plane-wave DFT calculation with PBE was carried out for crystalline Ac5Ta3Sb12 at its relaxed geometry.

Values from the calculation:
Volume, A^3/atom: 37.364
Space-group type: Ia-3d (230)
E, eV/atom: -5.240

Lattice parameters (Å, degrees): 15.718 15.718 15.718 109.47 109.47 109.47
Fractional positions:
Ta (0.750, 0.375, 0.125)
Ta (0.875, 0.750, 0.125)
Ta (0.375, 0.750, 0.625)
Ta (0.250, 0.125, 0.375)
Ta (0.875, 0.125, 0.250)
Ta (0.375, 0.625, 0.250)
Ta (0.625, 0.375, 0.750)
Ta (0.125, 0.875, 0.750)
Ta (0.750, 0.875, 0.625)
Ta (0.625, 0.250, 0.375)
Ta (0.125, 0.250, 0.875)
Ta (0.250, 0.625, 0.875)
Ac (0.125, 0.375, 0.250)
Ac (0.000, 0.500, 0.000)
Ac (0.000, 0.000, 0.000)
Ac (0.375, 0.250, 0.125)
Ac (0.500, 0.000, 0.500)
Ac (0.500, 0.500, 0.000)
Ac (0.125, 0.750, 0.375)
Ac (0.750, 0.125, 0.875)
Ac (0.750, 0.625, 0.375)
Ac (0.375, 0.125, 0.750)
Ac (0.625, 0.875, 0.250)
Ac (0.500, 0.500, 0.500)
Ac (0.500, 0.000, 0.000)
Ac (0.000, 0.000, 0.500)
Ac (0.250, 0.375, 0.625)
Ac (0.250, 0.875, 0.125)
Ac (0.000, 0.500, 0.500)
Ac (0.875, 0.250, 0.625)
Ac (0.625, 0.750, 0.875)
Ac (0.875, 0.625, 0.750)
Sb (0.756, 0.136, 0.083)
Sb (0.327, 0.583, 0.448)
Sb (0.917, 0.364, 0.244)
Sb (0.583, 0.256, 0.136)
Sb (0.621, 0.756, 0.673)
Sb (0.917, 0.552, 0.173)
Sb (0.327, 0.744, 0.379)
Sb (0.052, 0.879, 0.136)
Sb (0.552, 0.917, 0.673)
Sb (0.756, 0.621, 0.173)
Sb (0.744, 0.417, 0.364)
Sb (0.827, 0.948, 0.083)
Sb (0.136, 0.756, 0.583)
Sb (0.364, 0.448, 0.121)
Sb (0.121, 0.948, 0.364)
Sb (0.379, 0.136, 0.552)
Sb (0.121, 0.173, 0.256)
Sb (0.417, 0.673, 0.052)
Sb (0.827, 0.879, 0.244)
Sb (0.136, 0.379, 0.052)
Sb (0.364, 0.917, 0.744)
Sb (0.552, 0.636, 0.379)
Sb (0.948, 0.827, 0.583)
Sb (0.744, 0.327, 0.879)
Sb (0.448, 0.364, 0.621)
Sb (0.052, 0.173, 0.417)
Sb (0.256, 0.673, 0.121)
Sb (0.173, 0.121, 0.756)
Sb (0.636, 0.083, 0.256)
Sb (0.864, 0.621, 0.948)
Sb (0.583, 0.327, 0.948)
Sb (0.621, 0.864, 0.448)
Sb (0.879, 0.827, 0.744)
Sb (0.879, 0.052, 0.636)
Sb (0.864, 0.244, 0.417)
Sb (0.173, 0.052, 0.917)
Sb (0.636, 0.552, 0.879)
Sb (0.448, 0.083, 0.327)
Sb (0.244, 0.379, 0.827)
Sb (0.256, 0.583, 0.636)
Sb (0.948, 0.121, 0.864)
Sb (0.673, 0.256, 0.621)
Sb (0.417, 0.744, 0.864)
Sb (0.083, 0.448, 0.827)
Sb (0.379, 0.244, 0.327)
Sb (0.083, 0.636, 0.756)
Sb (0.673, 0.417, 0.552)
Sb (0.244, 0.864, 0.917)

=====

# 7
A plane-wave DFT calculation with PBE was carried out for crystalline AcTaSb3 at its relaxed geometry.

Values from the calculation:
Volume, A^3/atom: 31.652
Space-group type: Pm-3m (221)
E, eV/atom: -5.789

Lattice parameters (Å, degrees): 5.409 5.409 5.409 90.00 90.00 90.00
Fractional positions:
Sb (0.000, 0.500, 0.000)
Sb (0.000, 0.000, 0.500)
Sb (0.500, 0.000, 0.000)
Ac (0.500, 0.500, 0.500)
Ta (0.000, 0.000, 0.000)

=====

# 8
A plane-wave DFT calculation with PBE was carried out for crystalline AcTb3Sb4 at its relaxed geometry.

Values from the calculation:
Volume, A^3/atom: 32.154
Space-group type: P6_3/mmc (194)
E, eV/atom: -5.445

Lattice parameters (Å, degrees): 4.484 4.484 29.548 90.00 90.00 120.00
Fractional positions:
Sb (0.667, 0.333, 0.940)
Sb (0.333, 0.667, 0.060)
Sb (0.333, 0.667, 0.440)
Sb (0.667, 0.333, 0.560)
Sb (0.000, 0.000, 0.822)
Sb (0.000, 0.000, 0.178)
Sb (0.000, 0.000, 0.322)
Sb (0.000, 0.000, 0.678)
Ac (0.667, 0.333, 0.750)
Ac (0.333, 0.667, 0.250)
Tb (0.000, 0.000, 0.000)
Tb (0.000, 0.000, 0.500)
Tb (0.333, 0.667, 0.881)
Tb (0.667, 0.333, 0.119)
Tb (0.667, 0.333, 0.381)
Tb (0.333, 0.667, 0.619)

=====

# 9
A plane-wave DFT calculation with PBE was carried out for crystalline Ac5TbSb6 at its relaxed geometry.

Values from the calculation:
Volume, A^3/atom: 37.601
Space-group type: C2/m (12)
E, eV/atom: -5.344

Lattice parameters (Å, degrees): 8.207 8.207 8.209 99.63 99.63 120.01
Fractional positions:
Sb (0.402, 0.080, 0.242)
Sb (0.920, 0.598, 0.758)
Sb (0.239, 0.239, 0.755)
Sb (0.761, 0.761, 0.245)
Sb (0.080, 0.402, 0.242)
Sb (0.598, 0.920, 0.758)
Ac (0.830, 0.170, 0.500)
Ac (0.666, 0.334, 0.000)
Ac (0.500, 0.500, 0.500)
Ac (0.334, 0.666, 0.000)
Ac (0.170, 0.830, 0.500)
Tb (0.000, 0.000, 0.000)

=====

# 10
A plane-wave DFT calculation with PBE was carried out for crystalline AcTb5Sb6 at its relaxed geometry.

Values from the calculation:
Volume, A^3/atom: 31.637
Space-group type: C2/m (12)
E, eV/atom: -5.469

Lattice parameters (Å, degrees): 7.750 7.747 7.749 60.01 80.36 70.42
Fractional positions:
Ac (0.000, 0.000, 0.000)
Tb (0.500, 0.162, 0.676)
Tb (0.000, 0.332, 0.336)
Tb (0.500, 0.500, 0.000)
Tb (0.000, 0.668, 0.664)
Tb (0.500, 0.838, 0.324)
Sb (0.741, 0.087, 0.345)
Sb (0.259, 0.568, 0.345)
Sb (0.254, 0.261, 0.000)
Sb (0.746, 0.739, 0.000)
Sb (0.741, 0.432, 0.655)
Sb (0.259, 0.913, 0.655)

=====

# 11
A plane-wave DFT calculation with PBE was carried out for crystalline AcTb2Sb2 at its relaxed geometry.

Values from the calculation:
Volume, A^3/atom: 31.674
Space-group type: Fmmm (69)
E, eV/atom: -5.110

Lattice parameters (Å, degrees): 4.655 4.655 8.012 73.22 73.22 90.26
Fractional positions:
Ac (0.000, 0.000, 0.000)
Tb (0.250, 0.750, 0.500)
Tb (0.750, 0.250, 0.500)
Sb (0.393, 0.393, 0.215)
Sb (0.607, 0.607, 0.785)

=====

# 12
A plane-wave DFT calculation with PBE was carried out for crystalline Ac2TbSb at its relaxed geometry.

Values from the calculation:
Volume, A^3/atom: 36.350
Space-group type: P4/mmm (123)
E, eV/atom: -4.667

Lattice parameters (Å, degrees): 4.338 4.338 7.727 90.00 90.00 90.00
Fractional positions:
Sb (0.500, 0.500, 0.500)
Ac (0.000, 0.000, 0.727)
Ac (0.000, 0.000, 0.273)
Tb (0.500, 0.500, 0.000)

=====

What did we get for total moment? Answer: 0.00, 0.10, 0.00, 0.00, 0.12, 0.05, 0.00, 0.00, 0.00, 0.00, 0.00, 0.00 μB per atom, in the order shown.
What did we get for formation energy without anion corrections? Answer: -689, -901, -204, -94, 40, 73, -59, -875, -1372, -1316, -380, -164 kJ/mol of formula units, in the order shown.